# PmEr3Sn | Alexandria | PBE | relaxed
data_PmEr3Sn
_symmetry_space_group_name_H-M 'P 1'
_symmetry_Int_Tables_number 1
_cell_length_a 6.577
_cell_length_b 6.575
_cell_length_c 9.153
_cell_angle_alpha 82.67
_cell_angle_beta 119.66
_cell_angle_gamma 118.96
loop_
_symmetry_equiv_pos_as_xyz
'x,y,z'
loop_
_atom_site_label
_atom_site_fract_x
_atom_site_fract_y
_atom_site_fract_z
Pm1 0.532 0.032 0.000
Pm2 0.032 0.532 0.000
Er1 0.073 0.223 0.744
Er2 0.991 0.840 0.256
Er3 0.582 0.732 0.744
Er4 0.084 0.368 0.388
Er5 0.481 0.332 0.256
Er6 0.979 0.696 0.612
Sn1 0.569 0.860 0.366
Sn2 0.495 0.203 0.634
# Final energy   -4.698 eV per atom
# Formation energy   -0.210 eV/atom
# M_tot   0.000 μB/atom
# Space group   P-1 (2)